! NaCa3N (PBE, optimized geometry); values from VASP
! * energy relative to the elements, uncorrected: 1.4686 eV per atom
! * magnetization: 0.00 μB per cell
! * N(E_F): 6.6 states/eV per cell
&SYSTEM
  ibrav = 0, nat = 5, ntyp = 3
/
ATOMIC_SPECIES
Na 22.99 Na.upf
Ca 40.08 Ca.upf
N 14.01 N.upf
ATOMIC_POSITIONS angstrom
Na 0.000 0.000 0.000
Ca 0.000 0.000 2.884
Ca 0.000 2.884 0.000
Ca 2.884 0.000 0.000
N 2.884 2.884 2.884
CELL_PARAMETERS angstrom
5.767 0.000 0.000
0.000 5.767 0.000
0.000 0.000 5.767

***

! NaCa8N4 (PBE, optimized geometry); values from VASP
! * energy relative to the elements, uncorrected: -0.4854 eV per atom
! * energy relative to the lowest polymorph listed for this composition: 148.5 meV/atom
! * magnetization: 1.08 μB per cell
! * N(E_F): 6.1 states/eV per cell
&SYSTEM
  ibrav = 0, nat = 13, ntyp = 3
/
ATOMIC_SPECIES
Na 22.99 Na.upf
Ca 40.08 Ca.upf
N 14.01 N.upf
ATOMIC_POSITIONS angstrom
Na 0.000 0.000 0.000
Ca 4.189 4.189 4.189
Ca 6.527 6.527 4.189
Ca 6.527 4.189 6.527
Ca 9.127 6.947 6.947
Ca 4.189 6.527 6.527
Ca 6.947 9.127 6.947
Ca 6.947 6.947 9.127
Ca 9.127 9.127 9.127
N 6.705 4.011 4.011
N 4.011 6.705 4.011
N 4.011 4.011 6.705
N 6.705 6.705 6.705
CELL_PARAMETERS angstrom
0.000 5.358 5.358
5.358 0.000 5.358
5.358 5.358 0.000

***

! NaCa2N (PBE, optimized geometry); values from VASP
! * energy relative to the elements, uncorrected: -0.5585 eV per atom
! * magnetization: 0.00 μB per cell
! * N(E_F): 2.6 states/eV per cell
&SYSTEM
  ibrav = 0, nat = 8, ntyp = 3
/
ATOMIC_SPECIES
Na 22.99 Na.upf
Ca 40.08 Ca.upf
N 14.01 N.upf
ATOMIC_POSITIONS angstrom
Na 0.000 0.000 0.000
Na 3.134 1.810 0.000
Ca -0.014 0.000 6.021
Ca 1.030 1.810 3.514
Ca 3.120 1.810 6.021
Ca 4.164 0.000 3.514
N -1.059 1.810 4.767
N 2.075 0.000 4.767
CELL_PARAMETERS angstrom
6.268 0.000 0.000
0.000 3.620 0.000
-2.118 0.000 9.535

***

Number 1: energy -8.3 eV/f.u.. Number 2: energy -56.9 eV/f.u.. Number 3: energy -15.9 eV/f.u..